Entry 1:
Al2InNi GGA-PBE optimized geometry; crystal system = trigonal; formation energy from the elements = -0.09 eV per atom
1.0
-8.2404 -2.2278 1.0126
-7.0043 -4.9634 0.4438
-6.9627 -3.8281 3.2801
Al In Ni
2 1 1
Cartesian
-0.3492 -0.1733 0.0745 Al
-10.7546 -5.3364 2.2937 Al
-5.5519 -2.7548 1.1841 In
-16.6556 -8.2645 3.5523 Ni

Entry 2:
Al2InNi GGA-PBE optimized geometry; crystal system = tetragonal; formation energy from the elements = -0.10 eV per atom
1.0
-1.0833 2.4367 1.1741
-0.5006 -1.4236 2.4925
7.1594 1.9528 2.5532
Ni In Al
1 1 2
Cartesian
4.8079 2.0340 3.8304 Ni
3.8701 1.0556 1.3802 In
0.7764 0.9343 2.3926 Al
6.8601 1.8711 2.4465 Al

Entry 3:
Al2InNi GGA-PBE optimized geometry; crystal system = monoclinic; formation energy from the elements = -0.12 eV per atom
1.0
-2.6040 3.6965 -0.1877
-4.2228 1.3936 -0.8403
-3.2811 0.7616 5.4513
Al In Ni
2 1 1
Cartesian
-6.7899 4.8927 -0.4226 Al
-7.7469 4.4382 3.5552 Al
-5.5801 3.3282 2.0972 In
-1.8716 1.2087 0.3773 Ni

Entry 4:
AlIn2Ni GGA-PBE optimized geometry; crystal system = cubic; formation energy from the elements = 0.26 eV per atom
1.0
-0.4329 -4.3662 -1.9028
1.9736 -3.7678 2.1865
-2.7818 -3.2651 2.1149
Al In Ni
1 2 1
Cartesian
-0.6205 -5.6995 1.1993 Al
-0.3103 -2.8498 0.5997 In
0.0000 0.0000 0.0000 In
-0.9308 -8.5493 1.7990 Ni

Entry 5:
AlIn2Ni GGA-PBE optimized geometry; crystal system = tetragonal; formation energy from the elements = 0.08 eV per atom
1.0
3.0441 0.0000 0.0000
0.0000 3.0441 0.0000
0.0000 0.0000 8.1554
In Al Ni
2 1 1
Cartesian
0.0000 0.0000 0.3365 In
0.0000 0.0000 3.7412 In
1.5220 1.5220 6.1166 Al
1.5220 1.5220 2.0389 Ni

Entry 6:
AlInNi2 GGA-PBE optimized geometry; crystal system = orthorhombic; formation energy from the elements = -0.14 eV per atom
1.0
3.0526 0.0000 0.0000
0.0000 3.3253 0.0000
0.0000 0.0000 5.7795
Ni In Al
2 1 1
Cartesian
1.5263 1.6626 1.5632 Ni
0.0000 0.0000 0.0941 Ni
1.5263 1.6626 4.5186 In
0.0000 0.0000 2.4933 Al